BaTlBiAu: relaxed, GGA-PBE.

abc: 5.600 5.600 5.600
angles: 60.00 60.00 60.00
Sites, in units of the cell vectors:
Ba1 0.000 0.000 0.000
Tl1 0.750 0.750 0.750
Bi1 0.500 0.500 0.500
Au1 0.250 0.250 0.250

Calculated values
The space group is No. 216. For the total energy, the calculation gives -3.27 eV/atom. The value obtained for the formation energy is -39 kJ per mole of atoms.